This record from Alexandria describes a geometry-optimized Ce2ScIr structure. The functional is PBE.

a b c (Å): 3.6303 3.6303 29.3861
angles (deg): 90.00 90.00 120.00
Atoms (fractional coordinates):
Ce 0.0000 0.0000 0.1040
Ce 0.0000 0.0000 0.8960
Ce 0.3333 0.6667 0.5627
Ce 0.3333 0.6667 0.7706
Ce 0.6667 0.3333 0.2294
Ce 0.6667 0.3333 0.4373
Sc 0.0000 0.0000 0.0000
Sc 0.3333 0.6667 0.6667
Sc 0.6667 0.3333 0.3333
Ir 0.0000 0.0000 0.5000
Ir 0.3333 0.6667 0.1667
Ir 0.6667 0.3333 0.8333

Summary:
Offset from the most stable computed form   195 meV/atom
E_tot   -6.762 eV per atom
Formation enthalpy at 0 K   3 meV/atom
Space-group type   No. 166